1.
A plane-wave DFT calculation with PBE-GGA was carried out for Ge2Au2Br after structural relaxation.

Values from the calculation:
Symmetry: P4/mbm
Polymorph energy (0 for the lowest one) in kJ/mol of atoms: 4.8

abc: 8.0030 8.0030 3.2844
angles: 90.00 90.00 90.00
Closest atoms and distances in Å follow each position.
Fractional coordinates of all 10 atoms:
Ge 0.1351 0.3649 0.0000  6 Au 2.82-2.93, 1 Ge 3.06
Ge 0.3649 0.8649 0.0000  6 Au 2.82-2.93, 1 Ge 3.06
Ge 0.6351 0.1351 0.0000  6 Au 2.82-2.93, 1 Ge 3.06
Ge 0.8649 0.6351 0.0000  6 Au 2.82-2.93, 1 Ge 3.06
Au 0.1505 0.6505 0.5000  6 Ge 2.82-2.93, 2 Br 3.05
Au 0.3495 0.1505 0.5000  6 Ge 2.82-2.93, 2 Br 3.05
Au 0.6505 0.8495 0.5000  6 Ge 2.82-2.93, 2 Br 3.05
Au 0.8495 0.3495 0.5000  6 Ge 2.82-2.93, 2 Br 3.05
Br 0.0000 0.0000 0.5000  4 Au 3.05, 2 Br 3.28
Br 0.5000 0.5000 0.5000  4 Au 3.05, 2 Br 3.28

***

2.
A plane-wave DFT calculation with PBE-GGA was carried out for ZnReS2 after structural relaxation.

Values from the calculation:
Symmetry: R-3m

abc: 7.8459 7.8459 7.8459
angles: 23.47 23.47 23.47
Closest atoms and distances in Å follow each position.
Fractional coordinates of all 4 atoms:
Zn 0.0000 0.0000 0.0000  6 S 2.42
Re 0.5000 0.5000 0.5000  2 S 2.24
S 0.4020 0.4020 0.4020  1 Re 2.24, 3 Zn 2.42
S 0.5980 0.5980 0.5980  1 Re 2.24, 3 Zn 2.42

***

3.
A plane-wave DFT calculation with PBE-GGA was carried out for ReAs2Pb after structural relaxation.

Values from the calculation:
Symmetry: R-3m

abc: 9.4729 9.4729 9.4729
angles: 19.62 19.62 19.62
Closest atoms and distances in Å follow each position.
Fractional coordinates of all 4 atoms:
Re 0.0000 0.0000 0.0000  6 As 2.56
As 0.2703 0.2703 0.2703  3 Re 2.56
As 0.7297 0.7297 0.7297  3 Re 2.56
Pb 0.5000 0.5000 0.5000  6 Pb 3.23, 6 As 3.44

***

4.
A plane-wave DFT calculation with PBE-GGA was carried out for Ba3Mg2Zn2Au4 after structural relaxation.

Values from the calculation:
Symmetry: P-3m1

abc: 4.6330 4.6330 17.1585
angles: 90.00 90.00 120.00
Closest atoms and distances in Å follow each position.
Fractional coordinates of all 11 atoms:
Ba 0.0000 0.0000 0.0000  6 Au 3.54, 6 Zn 3.56
Ba 0.0000 0.0000 0.2734  6 Au 3.42-3.57, 3 Zn 3.55
Ba 0.0000 0.0000 0.7266  6 Au 3.42-3.57, 3 Zn 3.55
Mg 0.3333 0.6667 0.5576  4 Au 2.75-2.79
Mg 0.6667 0.3333 0.4424  4 Au 2.75-2.79
Zn 0.3333 0.6667 0.1372  3 Au 2.68
Zn 0.6667 0.3333 0.8628  3 Au 2.68
Au 0.3333 0.6667 0.3972  4 Mg 2.75-2.79
Au 0.3333 0.6667 0.8646  3 Zn 2.68
Au 0.6667 0.3333 0.1354  3 Zn 2.68
Au 0.6667 0.3333 0.6028  4 Mg 2.75-2.79

***

5.
A plane-wave DFT calculation with PBE-GGA was carried out for MnTe3 after structural relaxation.

Values from the calculation:
Symmetry: P4/mmm

abc: 5.3184 5.3184 3.6992
angles: 90.00 90.00 90.00
Closest atoms and distances in Å follow each position.
Fractional coordinates of all 4 atoms:
Mn 0.0000 0.0000 0.0000  8 Te 3.24
Te 0.0000 0.5000 0.5000  4 Mn 3.24, 4 Te 3.24
Te 0.5000 0.0000 0.5000  4 Mn 3.24, 4 Te 3.24
Te 0.5000 0.5000 0.0000  8 Te 3.24

***

6.
A plane-wave DFT calculation with PBE-GGA was carried out for TlRuAu3 after structural relaxation.

Values from the calculation:
Symmetry: Pm-3m
Polymorph energy (0 for the lowest one) in kJ/mol of atoms: 0.0

abc: 5.1199 5.1199 5.1199
angles: 90.00 90.00 90.00
Closest atoms and distances in Å follow each position.
Fractional coordinates of all 5 atoms:
Tl 0.0000 0.0000 0.0000  12 Au 3.62
Ru 0.5000 0.5000 0.5000  6 Au 2.56
Au 0.0000 0.5000 0.5000  2 Ru 2.56
Au 0.5000 0.0000 0.5000  2 Ru 2.56
Au 0.5000 0.5000 0.0000  2 Ru 2.56

***

Number 1: VASP energy -3.362 eV per atom. Number 2: VASP energy -5.187 eV per atom. Number 3: VASP energy -6.287 eV per atom. Number 4: VASP energy -2.773 eV per atom. Number 5: VASP energy -4.253 eV per atom. Number 6: VASP energy -3.551 eV per atom.